1.
First-principles (PBE-GGA) data for a relaxed Ac3Pr4In crystal, as listed in Alexandria via LeMat-Bulk.

## Properties
As for the formation energy: -55 kJ/mol of formula units. The calculated volume is 598.0 Å³/cell. Its symmetry is Pmn2_1, No. 31.

extended XYZ file:
```
16
Lattice="12.1168 0.0000 0.0000 0.0000 7.5485 0.0000 0.0000 0.0000 6.5377" Properties=species:S:1:pos:R:3 pbc="T T T"
Ac 0.0000 0.9387 0.0000
Ac 2.8602 0.9603 2.3958
Ac 3.1981 6.5882 5.6647
Ac 6.0584 6.6097 3.2688
Ac 8.9186 6.5882 5.6647
Ac 9.2565 0.9603 2.3958
Pr 0.0000 3.0202 3.6072
Pr 0.0000 4.7308 0.1348
Pr 2.8341 4.7621 2.3975
Pr 3.2243 2.7864 5.6663
Pr 6.0584 2.8176 3.4037
Pr 6.0584 4.5282 0.3384
Pr 8.8925 2.7864 5.6663
Pr 9.2827 4.7621 2.3975
In 0.0000 6.5366 3.4411
In 6.0584 1.0119 0.1723
```

---

2.
First-principles (PBE-GGA) data for a relaxed CaNb2Tc crystal, as listed in Alexandria via LeMat-Bulk.

## Properties
The value obtained for the energy above the most stable polymorph in this dataset is 0 meV/atom. As for the formation energy: 186 kJ/mol of formula units. The calculated volume is 74.3 Å³/cell. Its symmetry is Fm-3m, No. 225.

extended XYZ file:
```
4
Lattice="0.0000 3.3370 3.3370 3.3370 0.0000 3.3370 3.3370 3.3370 0.0000" Properties=species:S:1:pos:R:3 pbc="T T T"
Ca 0.0000 0.0000 0.0000
Nb 1.6685 1.6685 1.6685
Nb 5.0055 5.0055 5.0055
Tc 3.3370 3.3370 3.3370
```